Density functional theory data (GGA-PBE) for crystalline Mg4CuIr at its relaxed geometry.

Cell: 3.242 3.242 9.888 Å, 90.00 90.00 90.00°
Element x y z (fractional)
Mg 0.000 0.000 0.144
Mg 0.000 0.000 0.856
Mg 0.500 0.500 0.350
Mg 0.500 0.500 0.650
Cu 0.000 0.000 0.500
Ir 0.500 0.500 0.000

Calculated values
Formation energy from the elements = -0.197 eV per atom
E above lowest polymorph = 0.00 eV/f.u.
Total magnetization = 0.0 μB/f.u.
Symmetry = P4/mmm, No. 123